First-principles (PBE) data for HfZr3Zn after structural relaxation, as listed in Alexandria via LeMat-Bulk.

Cell lengths 5.890, 9.545, 9.545 Å; angles 54.00, 85.21, 85.21 degrees
Atoms (fractional coordinates):
Hf 0.250 0.903 0.097
Hf 0.750 0.097 0.903
Hf 0.250 0.251 0.749
Hf 0.750 0.749 0.251
Zr 0.574 0.734 0.951
Zr 0.926 0.049 0.266
Zr 0.426 0.266 0.049
Zr 0.074 0.951 0.734
Zr 0.934 0.416 0.909
Zr 0.566 0.091 0.584
Zr 0.066 0.584 0.091
Zr 0.434 0.909 0.416
Zr 0.604 0.501 0.654
Zr 0.896 0.346 0.499
Zr 0.396 0.499 0.346
Zr 0.104 0.654 0.501
Zn 0.807 0.779 0.650
Zn 0.693 0.350 0.221
Zn 0.193 0.221 0.350
Zn 0.307 0.650 0.779

Properties
- Formation enthalpy at 0 K: -0.035 eV/atom
- E above lowest polymorph: 0 meV/atom
- M_tot: 0.0000 μB/atom